(1)
DFT (PBE) results for a relaxed structure of SiPHPtSCl. Values from VASP.

Cell and atoms, written as Quantum ESPRESSO input:
```
&SYSTEM
  ibrav = 0, nat = 6, ntyp = 6
/
ATOMIC_SPECIES
Si 28.09 Si.upf
P 30.97 P.upf
H 1.01 H.upf
Pt 195.08 Pt.upf
S 32.06 S.upf
Cl 35.45 Cl.upf
CELL_PARAMETERS angstrom
4.024 0.000 0.000
1.598 3.802 0.000
0.444 1.724 8.158
ATOMIC_POSITIONS crystal
Si 0.000 0.000 0.000
P 0.152 0.651 0.795
H 0.421 0.858 0.282
Pt 0.668 0.629 0.960
S 0.324 0.625 0.221
Cl 0.962 0.079 0.586
```

## Properties
As for the density: 4.29 g/cm3. The energy above the lowest structure with this stoichiometry is 60 meV per atom. For the magnetization, the calculation gives 0.0 μB/f.u.

(2)
DFT (PBE) results for a relaxed structure of Rb2PHCl6. Values from VASP.

Cell and atoms, written as Quantum ESPRESSO input:
```
&SYSTEM
  ibrav = 0, nat = 10, ntyp = 4
/
ATOMIC_SPECIES
Rb 85.47 Rb.upf
P 30.97 P.upf
H 1.01 H.upf
Cl 35.45 Cl.upf
CELL_PARAMETERS angstrom
-3.925 3.925 4.547
3.925 -3.925 4.547
3.925 3.925 -4.547
ATOMIC_POSITIONS crystal
Rb 0.250 0.750 0.500
Rb 0.750 0.250 0.500
P 0.000 0.000 0.000
H 0.500 0.500 0.000
Cl 0.210 0.210 0.421
Cl 0.210 0.790 0.000
Cl 0.326 0.326 0.000
Cl 0.674 0.674 0.000
Cl 0.790 0.210 0.000
Cl 0.790 0.790 0.579
```

## Properties
As for the density: 2.46 g/cm3. The electronic total energy is -3.19 eV per atom. For the magnetization, the calculation gives 0.0 μB/f.u.